# 1
## La2CoNi (GGA-PBE)

Data for a relaxed La2CoNi crystal.

Results
**Energy above the lowest structure with this stoichiometry**: 106 meV/atom
**Space group**: Imm2 (44)

abc: 6.6255 6.6255 4.0418
angles: 72.24 72.24 32.41
With the nearest neighbours (Å) after each atom.
Positions (direct):
Co (0.1936, 0.1936, 0.3065)  2 Ni 2.43
La (0.9858, 0.9858, 0.0142)  4 Ni 2.89, 2 Co 3.22
La (0.7576, 0.7576, 0.7423)  4 Co 2.85, 2 Ni 3.10
Ni (0.5631, 0.5631, 0.4369)  2 Co 2.43


# 2
## LaCo2Ni (GGA-PBE)

Data for a relaxed LaCo2Ni crystal.

Results
**Space group**: Fm-3m (225)

abc: 4.4071 4.4071 4.4071
angles: 60.00 60.00 60.00
With the nearest neighbours (Å) after each atom.
Positions (direct):
Ni (0.0000, 0.0000, 0.0000)  8 Co 2.70
Co (0.7500, 0.7500, 0.7500)  4 Ni 2.70, 4 La 2.70
Co (0.2500, 0.2500, 0.2500)  4 La 2.70, 4 Ni 2.70
La (0.5000, 0.5000, 0.5000)  8 Co 2.70


# 3
## La2CoNi (GGA-PBE)

Data for a relaxed La2CoNi crystal.

Results
**Energy above the lowest structure with this stoichiometry**: 0 meV/atom
**Space group**: P2_1/m (11)

abc: 3.9916 6.0524 7.8691
angles: 108.95 90.00 90.00
With the nearest neighbours (Å) after each atom.
Positions (direct):
La (0.7500, 0.2290, 0.4378)  3 Co 2.87-3.16, 3 Ni 2.94-3.04
La (0.7500, 0.2288, 0.9264)  3 Co 2.84-3.14, 3 Ni 2.93-3.02
La (0.2500, 0.7710, 0.5622)  3 Co 2.87-3.16, 3 Ni 2.94-3.04
La (0.2500, 0.7712, 0.0736)  3 Co 2.84-3.14, 3 Ni 2.93-3.02
Ni (0.2500, 0.3618, 0.2137)  2 Co 2.60
Ni (0.7500, 0.6382, 0.7863)  2 Co 2.60
Co (0.2500, 0.3473, 0.7143)  2 Ni 2.60, 4 La 2.84-2.87
Co (0.7500, 0.6527, 0.2857)  2 Ni 2.60, 4 La 2.84-2.87


# 4
## LaCoNi (GGA-PBE)

Data for a relaxed LaCoNi crystal.

Results
**Space group**: F-43m (216)

abc: 4.3670 4.3670 4.3670
angles: 60.00 60.00 60.00
With the nearest neighbours (Å) after each atom.
Positions (direct):
Ni (0.0000, 0.0000, 0.0000)  4 La 2.67
La (0.7500, 0.7500, 0.7500)  4 Co 2.67, 4 Ni 2.67
Co (0.5000, 0.5000, 0.5000)  4 La 2.67


no.,electronic total energy (eV/cell),density of states at the Fermi level (states/eV/f.u.)
1,-23.132,2.991
2,-23.605,9.932
3,-47.113,2.722
4,-15.846,1.001